This record from Alexandria describes an optimized crystal structure of AcTm12In3. The functional is GGA-PBE.

Structure (POSCAR):
```
AcTm12In3
1.0
4.835 0.000 0.000
0.000 4.835 0.000
0.000 0.000 19.718
Ac Tm In
1 12 3
direct
0.000 0.000 0.000 Ac
0.000 0.500 0.137 Tm
0.000 0.500 0.379 Tm
0.000 0.500 0.621 Tm
0.000 0.500 0.863 Tm
0.500 0.000 0.137 Tm
0.500 0.000 0.379 Tm
0.500 0.000 0.621 Tm
0.500 0.000 0.863 Tm
0.500 0.500 0.000 Tm
0.500 0.500 0.260 Tm
0.500 0.500 0.500 Tm
0.500 0.500 0.740 Tm
0.000 0.000 0.259 In
0.000 0.000 0.500 In
0.000 0.000 0.741 In
```

Output
Its density is 9.36 Mg/m³. Its space group is P4/mmm (123). The density of states at the Fermi level comes out at 1.20 states/eV per atom. For the formation energy, the calculation gives -0.15 eV/atom. The uncorrected energy comes out at -4.276 eV per atom. Its volume is 461 Å³ per cell.

***

This record from Alexandria describes an optimized crystal structure of HfZrBi2. The functional is GGA-PBE.

Structure (POSCAR):
```
HfZrBi2
1.0
6.056 0.000 0.000
2.975 5.303 0.000
2.115 1.282 6.595
Hf Zr Bi
2 2 4
direct
0.236 0.498 0.039 Hf
0.764 0.502 0.961 Hf
0.003 0.265 0.460 Zr
0.997 0.735 0.540 Zr
0.228 0.976 0.107 Bi
0.479 0.726 0.606 Bi
0.521 0.274 0.394 Bi
0.772 0.024 0.893 Bi
```

Output
For the energy above the most stable polymorph in this dataset, the calculation gives 13 meV/atom. Its density is 10.78 Mg/m³. Its space group is P-1 (2). The density of states at the Fermi level comes out at 0.74 states/eV per atom. For the formation energy, the calculation gives -0.09 eV/atom. The uncorrected energy comes out at -6.658 eV per atom. Its volume is 212 Å³ per cell.

***

This record from Alexandria describes an optimized crystal structure of PuPaFeCu. The functional is GGA-PBE.

Structure (POSCAR):
```
PuPaFeCu
1.0
6.455 0.000 0.000
0.000 6.455 0.000
0.000 0.000 6.455
Pu Pa Fe Cu
4 4 4 4
direct
0.000 0.000 0.000 Pu
0.000 0.500 0.500 Pu
0.500 0.000 0.500 Pu
0.500 0.500 0.000 Pu
0.250 0.250 0.250 Pa
0.250 0.750 0.750 Pa
0.750 0.250 0.750 Pa
0.750 0.750 0.250 Pa
0.000 0.000 0.500 Fe
0.000 0.500 0.000 Fe
0.500 0.000 0.000 Fe
0.500 0.500 0.500 Fe
0.250 0.250 0.750 Cu
0.250 0.750 0.250 Cu
0.750 0.250 0.250 Cu
0.750 0.750 0.750 Cu
```

Output
For the energy above the most stable polymorph in this dataset, the calculation gives 0 meV/atom. Its density is 14.68 Mg/m³. Its space group is F-43m (216). The density of states at the Fermi level comes out at 0.76 states/eV per atom. For the formation energy, the calculation gives -0.09 eV/atom. The uncorrected energy comes out at -9.183 eV per atom. Its volume is 269 Å³ per cell.

***

This record from Alexandria describes an optimized crystal structure of TaMn2Cl. The functional is GGA-PBE.

Structure (POSCAR):
```
TaMn2Cl
1.0
4.611 0.000 0.000
0.000 4.611 0.000
0.000 0.000 3.132
Ta Mn Cl
1 2 1
direct
0.000 0.000 0.000 Ta
0.000 0.500 0.500 Mn
0.500 0.000 0.500 Mn
0.500 0.500 0.000 Cl
```

Output
For the energy above the most stable polymorph in this dataset, the calculation gives 570 meV/atom. Its density is 8.14 Mg/m³. Its space group is P4/mmm (123). The density of states at the Fermi level comes out at 0.87 states/eV per atom. The uncorrected energy comes out at -7.409 eV per atom. Its volume is 67 Å³ per cell. The value obtained for the energy relative to the elements, uncorrected is 601 meV/atom.

***

This record from Alexandria describes an optimized crystal structure of SiSbTe2Rh. The functional is GGA-PBE.

Structure (POSCAR):
```
SiSbTe2Rh
1.0
5.118 0.000 0.000
0.000 5.118 0.000
0.000 0.000 5.110
Si Sb Te Rh
1 1 2 1
direct
0.000 0.000 0.000 Si
0.000 0.000 0.500 Sb
0.000 0.500 0.000 Te
0.500 0.000 0.000 Te
0.500 0.500 0.500 Rh
```

Output
For the energy above the most stable polymorph in this dataset, the calculation gives 331 meV/atom. Its density is 6.30 Mg/m³. Its space group is P4/mmm (123). The density of states at the Fermi level comes out at 0.89 states/eV per atom. The uncorrected energy comes out at -3.702 eV per atom. Its volume is 134 Å³ per cell. The value obtained for the energy relative to the elements, uncorrected is 934 meV/atom.

***

This record from Alexandria describes an optimized crystal structure of LiAc2DySe4. The functional is GGA-PBE.

Structure (POSCAR):
```
LiAc2DySe4
1.0
7.326 0.000 0.000
0.000 4.283 0.000
-2.498 0.000 6.999
Li Ac Dy Se
1 2 1 4
direct
0.000 0.000 0.000 Li
0.500 0.000 0.500 Ac
0.500 0.500 0.000 Ac
0.000 0.500 0.500 Dy
0.220 0.000 0.744 Se
0.221 0.500 0.239 Se
0.779 0.500 0.761 Se
0.780 0.000 0.256 Se
```

Output
Its density is 7.10 Mg/m³. Its space group is P2/m (10). The density of states at the Fermi level comes out at 0.37 states/eV per atom. The uncorrected energy comes out at -5.331 eV per atom. Its volume is 220 Å³ per cell. The value obtained for the energy relative to the elements, uncorrected is -1747 meV/atom.